Record 1
## SrPrAlTl (PBE-GGA)

Data for a relaxed SrPrAlTl crystal.

The structure belongs to space group F-43m (No. 216); the cell edges are 7.862, 7.862 and 7.862 Å and the angles 90.00°, 90.00° and 90.00°. The inequivalent atoms are Sr at (0.000, 0.000, 0.000), Pr at (0.000, 0.000, 0.500), Al at (0.250, 0.250, 0.250) and Tl at (0.250, 0.250, 0.750).

Record 2
## PrTaAl (PBE-GGA)

Data for a relaxed PrTaAl crystal.

The structure belongs to space group P4/nmm (No. 129, origin choice 2); the cell edges are 4.100, 4.100 and 8.702 Å and the angles 90.00°, 90.00° and 90.00°. The inequivalent atoms are Pr at (0.250, 0.250, 0.155), Ta at (0.250, 0.750, 0.500) and Al at (0.250, 0.250, 0.720).

Record 3
## TbPr2Al (PBE-GGA)

Data for a relaxed TbPr2Al crystal.

The distance to the lowest polymorph of the same formula comes out at 0.012 eV per atom.

The structure belongs to space group P4/mmm (No. 123); the cell edges are 4.883, 4.883 and 4.901 Å and the angles 90.00°, 90.00° and 90.00°. The inequivalent atoms are Tb at (0.000, 0.000, 0.000), Pr at (0.000, 0.500, 0.500) and Al at (0.500, 0.500, 0.000).

Record 4
## TbPr2Al3 (PBE-GGA)

Data for a relaxed TbPr2Al3 crystal.

The structure belongs to space group Cmmm (No. 65); the cell edges are 5.241, 15.741 and 7.439 Å and the angles 90.00°, 90.00° and 90.00°. The inequivalent atoms are Tb at (0.000, 0.167, 0.000), Pr at (0.000, 0.164, 0.500), Pr at (0.000, 0.500, 0.000), Pr at (0.000, 0.500, 0.500), Al at (0.000, 0.000, 0.239) and Al at (0.000, 0.330, 0.240).

no.,formation energy from the elements (eV/atom),total moment (μB/atom)
1,-0.249,0.000
2,-0.107,0.000
3,-0.160,0.000
4,-0.356,0.000